1.
Entry from Alexandria: a relaxed Tb6ZnGa5 crystal (PBE).

abc: 5.0845 15.2508 7.1405
angles: 90.00 90.00 90.00
Last column: nearest neighbours and their distance in Å.
Space group Cmmm (No. 65)
Symmetry-distinct sites (fractional):
Tb 0.0000 0.0000 0.2499 x4  6 Ga 3.06-3.11, 2 Zn 3.11
Tb 0.0000 0.3332 0.2489 x8  7 Ga 3.10-3.14, 1 Zn 3.10
Zn 0.0000 0.5000 0.0000 x2  8 Tb 3.10-3.11
Ga 0.0000 0.1633 0.0000 x4  8 Tb 3.06-3.14
Ga 0.0000 0.1668 0.5000 x4  8 Tb 3.11
Ga 0.0000 0.5000 0.5000 x2  8 Tb 3.11

Output
- V (Å³ per atom) = 23.07
- total magnetic moment (μB/f.u.) = 0.0
- formation energy from the elements (eV/atom) = -0.556

2.
Entry from Alexandria: a relaxed TbZn5Ga2 crystal (PBE).

abc: 3.9840 7.2176 9.7533
angles: 90.00 90.00 90.00
Last column: nearest neighbours and their distance in Å.
Space group Immm (No. 71)
Symmetry-distinct sites (fractional):
Tb 0.0000 0.0000 0.0000 x2  4 Ga 3.08, 8 Zn 3.30
Zn 0.0000 0.1846 0.3642 x8  3 Ga 2.50-2.68, 4 Zn 2.65-2.74
Zn 0.0000 0.5000 0.0000 x2  2 Ga 2.53, 8 Zn 2.74
Ga 0.0000 0.5000 0.2591 x4  7 Zn 2.50-2.68

Output
- V (Å³ per atom) = 17.53
- total magnetic moment (μB/f.u.) = 0.0
- formation energy from the elements (eV/atom) = -0.228

3.
Entry from Alexandria: a relaxed Tb2ZnGa crystal (PBE).

abc: 5.0750 5.0750 3.5856
angles: 90.00 90.00 90.00
Last column: nearest neighbours and their distance in Å.
Space group P4/mmm (No. 123)
Symmetry-distinct sites (fractional):
Tb 0.0000 0.5000 0.0000 x2  4 Zn 3.11, 4 Ga 3.11
Zn 0.0000 0.0000 0.5000 x1  8 Tb 3.11
Ga 0.5000 0.5000 0.5000 x1  8 Tb 3.11

Output
- V (Å³ per atom) = 23.09
- total magnetic moment (μB/f.u.) = 0.0
- formation energy from the elements (eV/atom) = -0.472

4.
Entry from Alexandria: a relaxed Tb3Zn4Ga4 crystal (PBE).

abc: 4.3417 6.8226 14.3780
angles: 90.00 90.00 90.00
Last column: nearest neighbours and their distance in Å.
Space group Immm (No. 71)
Symmetry-distinct sites (fractional):
Tb 0.0000 0.0000 0.0000 x2  6 Ga 3.05-3.15
Tb 0.0000 0.5000 0.1267 x4  6 Zn 3.09-3.26, 6 Ga 3.10-3.11
Zn 0.0000 0.3121 0.3351 x8  4 Ga 2.52-2.70, 1 Zn 2.56
Ga 0.0000 0.0000 0.2191 x4  6 Zn 2.64-2.70
Ga 0.0000 0.1868 0.5000 x4  2 Zn 2.52, 1 Ga 2.55

Output
- V (Å³ per atom) = 19.36
- total magnetic moment (μB/f.u.) = 0.0
- formation energy from the elements (eV/atom) = -0.531

5.
Entry from Alexandria: a relaxed Tb2ZnGa12 crystal (PBE).

abc: 6.2312 6.2312 15.0646
angles: 90.00 90.00 90.00
Last column: nearest neighbours and their distance in Å.
Space group P4/nbm (No. 125, origin choice 2)
Symmetry-distinct sites (fractional):
Tb 0.2500 0.7500 0.2462 x4  14 Ga 3.12-3.45
Zn 0.2500 0.7500 0.0000 x2  8 Ga 2.59-2.60
Ga 0.0006 0.5006 0.0907 x8  2 Zn 2.59-2.60, 3 Ga 2.61-2.73
Ga 0.0829 0.5829 0.5709 x8  3 Ga 2.59-2.65
Ga 0.2500 0.2500 0.1831 x4  5 Ga 2.44-2.61
Ga 0.2500 0.2500 0.3449 x4  5 Ga 2.44-2.65

Output
- V (Å³ per atom) = 19.50
- total magnetic moment (μB/f.u.) = 0.0
- formation energy from the elements (eV/atom) = -0.265

6.
Entry from Alexandria: a relaxed TbZn3Ga3 crystal (PBE).

abc: 11.7457 11.7457 11.7457
angles: 90.00 90.00 90.00
Last column: nearest neighbours and their distance in Å.
Space group Fm-3m (No. 225)
Symmetry-distinct sites (fractional):
Tb 0.2500 0.2500 0.2500 x8  12 Ga 4.30, 12 Zn 4.31
Zn 0.0000 0.0000 0.1513 x24  1 Ga 2.27, 4 Zn 2.51
Ga 0.0000 0.0000 0.3442 x24  1 Zn 2.27

Output
- V (Å³ per atom) = 28.94
- total magnetic moment (μB/f.u.) = 0.0
- formation energy from the elements (eV/atom) = 0.539

7.
Entry from Alexandria: a relaxed Tb5ZnGa2 crystal (PBE).

abc: 5.0062 8.6786 19.9946
angles: 90.00 90.00 90.00
Last column: nearest neighbours and their distance in Å.
Space group Cmcm (No. 63)
Symmetry-distinct sites (fractional):
Tb 0.0000 0.9995 0.1560 x8  3 Ga 3.12, 3 Zn 3.45, 3 Tb 3.45
Tb 0.0000 0.3324 0.2500 x4  3 Zn 2.89, 2 Ga 3.05
Tb 0.0000 0.3337 0.5536 x8  4 Ga 3.02-3.03
Zn 0.0000 0.3345 0.7500 x4  3 Tb 2.89
Ga 0.0000 0.3329 0.0977 x8  8 Tb 3.02-3.12

Output
- V (Å³ per atom) = 27.15
- energy above the most stable polymorph in this dataset (eV/atom) = 0.103
- total magnetic moment (μB/f.u.) = 0.0
- formation energy from the elements (eV/atom) = -0.279

8.
Entry from Alexandria: a relaxed TbZn2Ga4 crystal (PBE).

abc: 4.0829 4.0829 30.5564
angles: 90.00 90.00 120.00
Last column: nearest neighbours and their distance in Å.
Space group R-3m (No. 166, hexagonal axes)
Symmetry-distinct sites (fractional):
Tb 0.0000 0.0000 0.0000 x3  8 Ga 3.04-3.11
Zn 0.0000 0.0000 0.1863 x6  5 Ga 2.58-2.74, 3 Zn 2.65
Ga 0.0000 0.0000 0.1016 x6  4 Zn 2.59-2.74, 3 Ga 2.64
Ga 0.0000 0.0000 0.2707 x6  1 Zn 2.58, 3 Ga 2.64

Output
- V (Å³ per atom) = 21.01
- energy above the most stable polymorph in this dataset (eV/atom) = 0.000
- total magnetic moment (μB/f.u.) = 0.0
- formation energy from the elements (eV/atom) = -0.201

9.
Entry from Alexandria: a relaxed Tb3ZnGa2 crystal (PBE).

abc: 3.5762 3.5762 10.8178
angles: 90.00 90.00 90.00
Last column: nearest neighbours and their distance in Å.
Space group P4/mmm (No. 123)
Symmetry-distinct sites (fractional):
Tb 0.0000 0.0000 0.0000 x1  8 Ga 3.14
Tb 0.0000 0.0000 0.3361 x2  4 Zn 3.09, 4 Ga 3.09
Zn 0.5000 0.5000 0.5000 x1  8 Tb 3.09
Ga 0.5000 0.5000 0.1716 x2  8 Tb 3.09-3.14

Output
- V (Å³ per atom) = 23.06
- energy above the most stable polymorph in this dataset (eV/atom) = 0.010
- total magnetic moment (μB/f.u.) = 0.0
- formation energy from the elements (eV/atom) = -0.508

10.
Entry from Alexandria: a relaxed Tb2Zn5Ga3 crystal (PBE).

abc: 10.6405 11.7281 5.8950
angles: 90.00 90.00 90.00
Last column: nearest neighbours and their distance in Å.
Space group Ibam (No. 72)
Symmetry-distinct sites (fractional):
Tb 0.2471 0.1244 0.0000 x8  6 Ga 3.15-3.35, 10 Zn 3.17-3.40
Zn 0.0000 0.2540 0.2500 x8  2 Zn 2.52, 2 Ga 2.54
Zn 0.0000 0.5000 0.2500 x4  4 Ga 2.56
Zn 0.1332 0.1279 0.5000 x8  3 Ga 2.40-2.54, 2 Zn 2.52
Ga 0.0000 0.0000 0.2500 x4  4 Zn 2.54
Ga 0.1409 0.3750 0.0000 x8  5 Zn 2.40-2.56

Output
- V (Å³ per atom) = 18.39
- energy above the most stable polymorph in this dataset (eV/atom) = 0.000
- total magnetic moment (μB/f.u.) = 0.0
- formation energy from the elements (eV/atom) = -0.419

11.
Entry from Alexandria: a relaxed Tb5Zn4Ga crystal (PBE).

abc: 3.5776 3.5776 18.0230
angles: 90.00 90.00 90.00
Last column: nearest neighbours and their distance in Å.
Space group P4/mmm (No. 123)
Symmetry-distinct sites (fractional):
Tb 0.0000 0.0000 0.0000 x1  8 Zn 3.11
Tb 0.0000 0.0000 0.1994 x2  8 Zn 3.09-3.10
Tb 0.0000 0.0000 0.3991 x2  4 Ga 3.12, 4 Zn 3.12
Zn 0.5000 0.5000 0.1004 x2  8 Tb 3.10-3.11
Zn 0.5000 0.5000 0.2981 x2  8 Tb 3.09-3.12
Ga 0.5000 0.5000 0.5000 x1  8 Tb 3.12

Output
- V (Å³ per atom) = 23.07
- total magnetic moment (μB/f.u.) = 0.0
- formation energy from the elements (eV/atom) = -0.386

12.
Entry from Alexandria: a relaxed Tb6ZnGa2 crystal (PBE).

abc: 4.9592 7.0295 14.9321
angles: 90.00 90.00 90.00
Last column: nearest neighbours and their distance in Å.
Space group Immm (No. 71)
Symmetry-distinct sites (fractional):
Tb 0.0000 0.2482 0.0000 x4  2 Zn 3.03, 2 Ga 3.06
Tb 0.0000 0.2515 0.3338 x8  1 Zn 3.04, 3 Ga 3.04-3.05
Zn 0.0000 0.5000 0.5000 x2  8 Tb 3.03-3.04
Ga 0.0000 0.5000 0.1670 x4  8 Tb 3.04-3.06

Output
- V (Å³ per atom) = 28.92
- energy above the most stable polymorph in this dataset (eV/atom) = 0.190
- total magnetic moment (μB/f.u.) = 0.0
- formation energy from the elements (eV/atom) = -0.153